A plane-wave DFT calculation with GGA-PBE was carried out for a geometry-optimized ScGaN2 structure.

Properties
density: 4.3 Mg/m³
E_form (uncorrected): 262 meV per atom
DFT total energy: -6.240 eV per atom
crystal system: trigonal

Unit cell a=3.2563 b=3.2563 c=17.9279 alpha=90.00 beta=90.00 gamma=120.00
With the nearest neighbours (Å) after each atom.
Space group R-3m (No. 166, hexagonal axes)
Inequivalent atoms, fractional coordinates:
Sc1 0.0000 0.0000 0.0000 [3 per cell]  2 N 1.99
Ga1 0.0000 0.0000 0.5000 [3 per cell]  6 N 2.13
N1 0.0000 0.0000 0.1111 [6 per cell]  1 Sc 1.99, 3 Ga 2.13

A plane-wave DFT calculation with GGA-PBE was carried out for a geometry-optimized Sc2GaN structure.

Properties
density: 4.0 Mg/m³
E_form (uncorrected): -876 meV per atom
DFT total energy: -6.880 eV per atom
crystal system: trigonal

Unit cell a=3.2210 b=3.2210 c=24.0466 alpha=90.00 beta=90.00 gamma=120.00
With the nearest neighbours (Å) after each atom.
Space group R-3m (No. 166, hexagonal axes)
Inequivalent atoms, fractional coordinates:
Sc1 0.0000 0.0000 0.1174 [6 per cell]  3 N 2.20
Ga1 0.0000 0.0000 0.0000 [3 per cell]  2 Sc 2.82
N1 0.0000 0.0000 0.5000 [3 per cell]  6 Sc 2.20

A plane-wave DFT calculation with GGA-PBE was carried out for a geometry-optimized ScGaN3 structure.

Properties
density: 4.7 Mg/m³
E_form (uncorrected): 592 meV per atom
DFT total energy: -6.275 eV per atom
crystal system: cubic

Unit cell a=3.8048 b=3.8048 c=3.8048 alpha=90.00 beta=90.00 gamma=90.00
With the nearest neighbours (Å) after each atom.
Space group Pm-3m (No. 221)
Inequivalent atoms, fractional coordinates:
Sc1 0.0000 0.0000 0.0000 [1 per cell]  12 N 2.69
Ga1 0.5000 0.5000 0.5000 [1 per cell]  6 N 1.90
N1 0.0000 0.5000 0.5000 [3 per cell]  2 Ga 1.90

A plane-wave DFT calculation with GGA-PBE was carried out for a geometry-optimized ScGaN2 structure.

Properties
density: 4.1 Mg/m³
E_form (uncorrected): -706 meV per atom
DFT total energy: -7.208 eV per atom
crystal system: trigonal

Unit cell a=3.4094 b=3.4094 c=17.0564 alpha=90.00 beta=90.00 gamma=120.00
With the nearest neighbours (Å) after each atom.
Space group R-3m (No. 166, hexagonal axes)
Inequivalent atoms, fractional coordinates:
Sc1 0.0000 0.0000 0.0000 [3 per cell]  6 N 2.25
Ga1 0.0000 0.0000 0.5000 [3 per cell]  2 N 1.75
N1 0.0000 0.0000 0.3972 [6 per cell]  1 Ga 1.75

A plane-wave DFT calculation with GGA-PBE was carried out for a geometry-optimized Sc2Ga2N structure.

Properties
density: 4.2 Mg/m³
E_form (uncorrected): 385 meV per atom
DFT total energy: -5.023 eV per atom
crystal system: tetragonal

Unit cell a=5.5441 b=5.5441 c=6.2702 alpha=90.00 beta=90.00 gamma=90.00
With the nearest neighbours (Å) after each atom.
Space group I4/mmm (No. 139)
Inequivalent atoms, fractional coordinates:
Sc1 0.0000 0.5000 0.2500 [4 per cell]  4 Ga 2.80
Ga1 0.0000 0.0000 0.1908 [4 per cell]  1 N 1.94
N1 0.0000 0.0000 0.5000 [2 per cell]  2 Ga 1.94

A plane-wave DFT calculation with GGA-PBE was carried out for a geometry-optimized Sc2GaN structure.

Properties
density: 3.1 Mg/m³
E_form (uncorrected): -224 meV per atom
DFT total energy: -6.228 eV per atom
crystal system: trigonal

Unit cell a=3.7857 b=3.7857 c=22.6032 alpha=90.00 beta=90.00 gamma=120.00
With the nearest neighbours (Å) after each atom.
Space group R-3m (No. 166, hexagonal axes)
Inequivalent atoms, fractional coordinates:
Sc1 0.0000 0.0000 0.0819 [6 per cell]  1 N 1.85
Ga1 0.0000 0.0000 0.5000 [3 per cell]  6 Sc 2.91
N1 0.0000 0.0000 0.0000 [3 per cell]  2 Sc 1.85

A plane-wave DFT calculation with GGA-PBE was carried out for a geometry-optimized ScGaN3 structure.

Properties
density: 3.7 Mg/m³
E_form (uncorrected): 1116 meV per atom
DFT total energy: -5.751 eV per atom
crystal system: cubic

Unit cell a=4.1326 b=4.1326 c=4.1326 alpha=90.00 beta=90.00 gamma=90.00
With the nearest neighbours (Å) after each atom.
Space group Pm-3m (No. 221)
Inequivalent atoms, fractional coordinates:
Sc1 0.0000 0.0000 0.0000 [1 per cell]  6 N 2.07
Ga1 0.5000 0.5000 0.5000 [1 per cell]  12 N 2.92
N1 0.0000 0.0000 0.5000 [3 per cell]  2 Sc 2.07

A plane-wave DFT calculation with GGA-PBE was carried out for a geometry-optimized Sc2GaN structure.

Properties
density: 4.0 Mg/m³
E_form (uncorrected): -843 meV per atom
DFT total energy: -6.847 eV per atom
crystal system: tetragonal

Unit cell a=6.3471 b=6.3471 c=7.2454 alpha=90.00 beta=90.00 gamma=90.00
With the nearest neighbours (Å) after each atom.
Space group I-42d (No. 122)
Inequivalent atoms, fractional coordinates:
Sc1 0.1571 0.7500 0.1250 [8 per cell]  2 N 2.08
Ga1 0.0000 0.0000 0.5000 [4 per cell]  4 Sc 2.84
N1 0.0000 0.0000 0.0000 [4 per cell]  4 Sc 2.08

A plane-wave DFT calculation with GGA-PBE was carried out for a geometry-optimized ScGaSeN2 structure.

Properties
density: 3.9 Mg/m³
E_form (uncorrected): 507 meV per atom
DFT total energy: -5.392 eV per atom
crystal system: tetragonal

Unit cell a=4.0654 b=4.0654 c=5.6750 alpha=90.00 beta=90.00 gamma=90.00
With the nearest neighbours (Å) after each atom.
Space group P4/mmm (No. 123)
Inequivalent atoms, fractional coordinates:
Sc1 0.0000 0.0000 0.0000 [1 per cell]  4 N 2.03
Ga1 0.5000 0.5000 0.5000 [1 per cell]  4 Se 2.87
Se1 0.0000 0.0000 0.5000 [1 per cell]  2 Sc 2.84, 4 Ga 2.87
N1 0.0000 0.5000 0.0000 [2 per cell]  2 Sc 2.03

A plane-wave DFT calculation with GGA-PBE was carried out for a geometry-optimized ScGaSeN2 structure.

Properties
density: 4.7 Mg/m³
E_form (uncorrected): 403 meV per atom
DFT total energy: -5.496 eV per atom
crystal system: tetragonal

Unit cell a=3.8472 b=3.8472 c=5.3004 alpha=90.00 beta=90.00 gamma=90.00
With the nearest neighbours (Å) after each atom.
Space group P4/mmm (No. 123)
Inequivalent atoms, fractional coordinates:
Sc1 0.0000 0.0000 0.0000 [1 per cell]  4 Se 2.72
Ga1 0.5000 0.5000 0.5000 [1 per cell]  4 N 1.92
Se1 0.5000 0.5000 0.0000 [1 per cell]  2 Ga 2.65, 4 Sc 2.72
N1 0.0000 0.5000 0.5000 [2 per cell]  2 Ga 1.92

A plane-wave DFT calculation with GGA-PBE was carried out for a geometry-optimized Sc4GaSiN structure.

Properties
density: 3.7 Mg/m³
E_form (uncorrected): -971 meV per atom
DFT total energy: -6.985 eV per atom
crystal system: orthorhombic

Unit cell a=6.0226 b=14.3171 c=6.0221 alpha=90.00 beta=90.00 gamma=90.00
With the nearest neighbours (Å) after each atom.
Space group Cmcm (No. 63)
Inequivalent atoms, fractional coordinates:
Sc1 0.0000 0.0852 0.2500 [4 per cell]  1 N 2.35
Sc2 0.0000 0.4131 0.2500 [4 per cell]  1 N 2.34
Sc3 0.2500 0.2500 0.0000 [8 per cell]  2 N 2.13
Ga1 0.0000 0.3894 0.7500 [4 per cell]  9 Sc 2.83-3.03
Si1 0.0000 0.1120 0.7500 [4 per cell]  9 Sc 2.82-3.04
N1 0.0000 0.2495 0.2500 [4 per cell]  6 Sc 2.13-2.35

A plane-wave DFT calculation with GGA-PBE was carried out for a geometry-optimized SrSc2GaN structure.

Properties
density: 4.3 Mg/m³
E_form (uncorrected): -746 meV per atom
DFT total energy: -5.885 eV per atom
crystal system: tetragonal

Unit cell a=4.4999 b=4.4999 c=5.0401 alpha=90.00 beta=90.00 gamma=90.00
With the nearest neighbours (Å) after each atom.
Space group P4/mmm (No. 123)
Inequivalent atoms, fractional coordinates:
Sr1 0.0000 0.0000 0.0000 [1 per cell]  2 N 2.52
Sc1 0.0000 0.5000 0.5000 [2 per cell]  2 N 2.25
Ga1 0.5000 0.5000 0.0000 [1 per cell]  4 Sr 3.18, 8 Sc 3.38
N1 0.0000 0.0000 0.5000 [1 per cell]  4 Sc 2.25

A plane-wave DFT calculation with GGA-PBE was carried out for a geometry-optimized TbSc2GaN structure.

Properties
density: 5.9 Mg/m³
E_form (uncorrected): -1065 meV per atom
DFT total energy: -6.794 eV per atom
crystal system: tetragonal

Unit cell a=4.4312 b=4.4312 c=4.7416 alpha=90.00 beta=90.00 gamma=90.00
With the nearest neighbours (Å) after each atom.
Space group P4/mmm (No. 123)
Inequivalent atoms, fractional coordinates:
Tb1 0.0000 0.0000 0.0000 [1 per cell]  2 N 2.37
Sc1 0.0000 0.5000 0.5000 [2 per cell]  2 N 2.22
Ga1 0.5000 0.5000 0.0000 [1 per cell]  4 Tb 3.13, 8 Sc 3.24
N1 0.0000 0.0000 0.5000 [1 per cell]  4 Sc 2.22, 2 Tb 2.37

| no. | D(E_F) (states/eV per cell) |
| --- | --- |
| 1 | 13.99 |
| 2 | 6.85 |
| 3 | 4.20 |
| 4 | 0.00 |
| 5 | 6.30 |
| 6 | 4.08 |
| 7 | 3.84 |
| 8 | 5.22 |
| 9 | 2.96 |
| 10 | 3.25 |
| 11 | 5.09 |
| 12 | 4.00 |
| 13 | 2.59 |